# 1
A plane-wave DFT calculation with GGA-PBE was carried out for crystalline ThB12 at its relaxed geometry.

Unit cell a=5.3739 b=5.3739 c=5.3739 alpha=60.00 beta=60.00 gamma=60.00
Last column: nearest neighbours and their distance in Å.
Atoms (fractional coordinates):
Th  0.0000  0.0000  0.0000  24 B 2.83
B  0.1628  0.5000  0.5000  5 B 1.75-1.81
B  0.1628  0.5000  0.8372  5 B 1.75-1.81
B  0.1628  0.8372  0.5000  5 B 1.75-1.81
B  0.5000  0.1628  0.5000  5 B 1.75-1.81
B  0.5000  0.1628  0.8372  5 B 1.75-1.81
B  0.5000  0.5000  0.1628  5 B 1.75-1.81
B  0.5000  0.5000  0.8372  5 B 1.75-1.81
B  0.5000  0.8372  0.1628  5 B 1.75-1.81
B  0.5000  0.8372  0.5000  5 B 1.75-1.81
B  0.8372  0.1628  0.5000  5 B 1.75-1.81
B  0.8372  0.5000  0.1628  5 B 1.75-1.81
B  0.8372  0.5000  0.5000  5 B 1.75-1.81

Properties
* ρ: 5.474 g cm⁻³
* SG: Fm-3m
* total energy: -0.25694 Ha/atom
* magnetization: 0.00 μB/cell
* energy relative to the elements: -0.257 eV per atom

=====

# 2
A plane-wave DFT calculation with GGA-PBE was carried out for crystalline ThB4 at its relaxed geometry.

Unit cell a=7.2564 b=7.2564 c=4.1173 alpha=90.00 beta=90.00 gamma=90.00
Last column: nearest neighbours and their distance in Å.
Atoms (fractional coordinates):
Th  0.1851  0.3149  0.0000  18 B 2.78-3.10
Th  0.3149  0.8149  0.0000  18 B 2.78-3.10
Th  0.6851  0.1851  0.0000  18 B 2.78-3.10
Th  0.8149  0.6851  0.0000  18 B 2.78-3.10
B  0.0000  0.0000  0.2010  5 B 1.66-1.79
B  0.0000  0.0000  0.7990  5 B 1.66-1.79
B  0.0390  0.8250  0.5000  5 B 1.75-1.84
B  0.0895  0.5895  0.5000  3 B 1.75-1.84
B  0.1750  0.0390  0.5000  5 B 1.75-1.84
B  0.3250  0.5390  0.5000  5 B 1.75-1.84
B  0.4105  0.0895  0.5000  3 B 1.75-1.84
B  0.4610  0.3250  0.5000  5 B 1.75-1.84
B  0.5000  0.5000  0.2010  5 B 1.66-1.79
B  0.5000  0.5000  0.7990  5 B 1.66-1.79
B  0.5390  0.6750  0.5000  5 B 1.75-1.84
B  0.5895  0.9105  0.5000  3 B 1.75-1.84
B  0.6750  0.4610  0.5000  5 B 1.75-1.84
B  0.8250  0.9610  0.5000  5 B 1.75-1.84
B  0.9105  0.4105  0.5000  3 B 1.75-1.84
B  0.9610  0.1750  0.5000  5 B 1.75-1.84

Properties
* ρ: 8.434 g cm⁻³
* SG: P4/mbm
* total energy: -0.27364 Ha/atom
* relative energy among the computed polymorphs: 0.0000 eV per atom
* magnetization: 0.00 μB/cell
* energy relative to the elements: -0.620 eV per atom

=====

# 3
A plane-wave DFT calculation with GGA-PBE was carried out for crystalline ThB6 at its relaxed geometry.

Unit cell a=4.1112 b=4.1112 c=4.1112 alpha=90.00 beta=90.00 gamma=90.00
Last column: nearest neighbours and their distance in Å.
Atoms (fractional coordinates):
Th  0.0000  0.0000  0.0000  24 B 3.02
B  0.1974  0.5000  0.5000  5 B 1.62-1.76
B  0.5000  0.1974  0.5000  5 B 1.62-1.76
B  0.5000  0.5000  0.1974  5 B 1.62-1.76
B  0.5000  0.5000  0.8026  5 B 1.62-1.76
B  0.5000  0.8026  0.5000  5 B 1.62-1.76
B  0.8026  0.5000  0.5000  5 B 1.62-1.76

Properties
* ρ: 7.095 g cm⁻³
* SG: Pm-3m
* total energy: -0.26713 Ha/atom
* relative energy among the computed polymorphs: 0.0000 eV per atom
* magnetization: 0.00 μB/cell
* energy relative to the elements: -0.485 eV per atom

=====

# 4
A plane-wave DFT calculation with GGA-PBE was carried out for crystalline ThB5 at its relaxed geometry.

Unit cell a=5.0097 b=5.0097 c=4.2419 alpha=90.00 beta=90.00 gamma=141.81
Last column: nearest neighbours and their distance in Å.
Atoms (fractional coordinates):
Th  0.0000  0.0000  0.0000  10 B 2.61-2.68
B  0.2757  0.7243  0.0000  2 B 1.71
B  0.3190  0.6810  0.5000  1 B 1.71
B  0.5000  0.5000  0.5000  2 B 1.71
B  0.6810  0.3190  0.5000  1 B 1.71
B  0.7243  0.2757  0.0000  2 B 1.71

Properties
* ρ: 7.218 g cm⁻³
* SG: Cmmm
* total energy: -0.23380 Ha/atom
* magnetization: 0.00 μB/cell
* energy relative to the elements: 0.439 eV per atom

=====

# 5
A plane-wave DFT calculation with GGA-PBE was carried out for crystalline ThB11 at its relaxed geometry.

Unit cell a=6.8028 b=6.8028 c=5.9364 alpha=112.63 beta=112.63 gamma=57.46
Last column: nearest neighbours and their distance in Å.
Atoms (fractional coordinates):
Th  0.0000  0.0000  0.0000  12 B 2.70-3.03
Th  0.5024  0.5024  0.9964  11 B 2.62-2.92
B  0.0075  0.0075  0.5273  4 B 1.65-1.82
B  0.0098  0.7341  0.5116  5 B 1.76-1.88
B  0.0110  0.2977  0.7394  6 B 1.72-1.92
B  0.0608  0.5633  0.9656  4 B 1.65-1.79
B  0.0641  0.5080  0.6531  6 B 1.75-1.92
B  0.2115  0.4924  0.2625  5 B 1.77-1.97
B  0.2520  0.7512  0.4923  4 B 1.65-1.76
B  0.2647  0.2647  0.4380  4 B 1.76-1.88
B  0.2977  0.0110  0.7394  6 B 1.72-1.92
B  0.4600  0.9135  0.0136  4 B 1.65-1.76
B  0.4605  0.9660  0.3224  5 B 1.73-1.88
B  0.4924  0.2115  0.2625  5 B 1.77-1.97
B  0.4959  0.7760  0.4908  5 B 1.76-1.85
B  0.5024  0.5024  0.4524  4 B 1.65-1.76
B  0.5080  0.0641  0.6531  6 B 1.75-1.92
B  0.5633  0.0608  0.9656  4 B 1.65-1.79
B  0.7341  0.0098  0.5116  5 B 1.76-1.88
B  0.7483  0.7483  0.9552  4 B 1.76-1.79
B  0.7512  0.2520  0.4923  4 B 1.65-1.76
B  0.7760  0.4959  0.4908  5 B 1.76-1.85
B  0.9135  0.4600  0.0136  4 B 1.65-1.76
B  0.9660  0.4605  0.3224  5 B 1.73-1.88

Properties
* ρ: 5.600 g cm⁻³
* SG: Cm
* total energy: -0.23997 Ha/atom
* magnetization: 0.00 μB/cell
* energy relative to the elements: 0.209 eV per atom

=====

# 6
A plane-wave DFT calculation with GGA-PBE was carried out for crystalline ThB4 at its relaxed geometry.

Unit cell a=5.2873 b=5.2873 c=5.2873 alpha=143.61 beta=143.61 gamma=52.41
Last column: nearest neighbours and their distance in Å.
Atoms (fractional coordinates):
Th  0.0000  0.0000  0.0000  16 B 2.81-2.89
B  0.2500  0.7500  0.5000  4 B 1.84
B  0.3359  0.3359  0.0000  4 B 1.84
B  0.6641  0.6641  0.0000  4 B 1.84
B  0.7500  0.2500  0.5000  4 B 1.84

Properties
* ρ: 8.838 g cm⁻³
* SG: I4/mmm
* total energy: -0.25312 Ha/atom
* relative energy among the computed polymorphs: 0.5583 eV per atom
* magnetization: 0.00 μB/cell
* energy relative to the elements: -0.062 eV per atom

=====

# 7
A plane-wave DFT calculation with GGA-PBE was carried out for crystalline ThB4 at its relaxed geometry.

Unit cell a=4.9672 b=4.9672 c=4.9672 alpha=90.00 beta=90.00 gamma=90.00
Last column: nearest neighbours and their distance in Å.
Atoms (fractional coordinates):
Th  0.0000  0.0000  0.0000  6 B 2.48
B  0.0000  0.0000  0.5000  2 Th 2.48
B  0.0000  0.5000  0.0000  2 Th 2.48
B  0.5000  0.0000  0.0000  2 Th 2.48
B  0.5000  0.5000  0.5000  12 B 3.51

Properties
* ρ: 3.730 g cm⁻³
* SG: Pm-3m
* total energy: -0.13710 Ha/atom
* relative energy among the computed polymorphs: 3.7154 eV per atom
* magnetization: 0.00 μB/cell
* energy relative to the elements: 3.095 eV per atom

=====

# 8
A plane-wave DFT calculation with GGA-PBE was carried out for crystalline Th3B at its relaxed geometry.

Unit cell a=4.6609 b=4.6609 c=4.6609 alpha=90.00 beta=90.00 gamma=90.00
Last column: nearest neighbours and their distance in Å.
Atoms (fractional coordinates):
Th  0.0000  0.0000  0.5000  8 Th 3.30, 4 B 3.30
Th  0.0000  0.5000  0.0000  8 Th 3.30, 4 B 3.30
Th  0.5000  0.0000  0.0000  8 Th 3.30, 4 B 3.30
B  0.5000  0.5000  0.5000  12 Th 3.30

Properties
* ρ: 11.593 g cm⁻³
* SG: Pm-3m
* total energy: -0.24574 Ha/atom
* relative energy among the computed polymorphs: 0.4656 eV per atom
* magnetization: 0.00 μB/cell
* energy relative to the elements: 0.547 eV per atom